Here is BeAg2Os after structural relaxation from Alexandria. Energies are from PBE.

Unit cell a=2.684 b=4.369 c=5.192 alpha=90.00 beta=104.85 gamma=90.00
Space group P2/m (No. 10)
Asymmetric unit:
Be: 0.000 0.000 0.000 [1 per cell]
Ag: 0.146 0.500 0.763 [2 per cell]
Os: 0.500 0.000 0.500 [1 per cell]

Calculated values
M_tot = 0.000 μB/f.u.
ΔH_f (0 K) = 0.59 eV/atom
Calculated total energy = -4.575 eV per atom


Here is BeAg2Os2 after structural relaxation from Alexandria. Energies are from PBE.

Unit cell a=5.799 b=5.799 c=4.630 alpha=90.00 beta=90.00 gamma=90.00
Space group P4/mbm (No. 127)
Asymmetric unit:
Be: 0.000 0.000 0.000 [2 per cell]
Ag: 0.174 0.326 0.500 [4 per cell]
Os: 0.145 0.645 0.000 [4 per cell]

Calculated values
M_tot = 0.000 μB/f.u.
ΔH_f (0 K) = 0.65 eV/atom
Offset from the most stable computed form = 0 meV per atom
Calculated total energy = -5.728 eV per atom


Here is Be2AgOs after structural relaxation from Alexandria. Energies are from PBE.

Unit cell a=2.782 b=4.499 c=8.281 alpha=90.00 beta=90.00 gamma=90.00
Space group Cmm2 (No. 35)
Asymmetric unit:
Be: 0.000 0.000 0.000 [2 per cell]
Be: 0.000 0.500 0.217 [2 per cell]
Ag: 0.000 0.500 0.753 [2 per cell]
Os: 0.000 0.000 0.440 [2 per cell]

Calculated values
M_tot = 0.000 μB/f.u.
ΔH_f (0 K) = 0.40 eV/atom
Offset from the most stable computed form = 449 meV per atom
Calculated total energy = -4.980 eV per atom


> calculated total energy of number 2 (BeAg2Os2)?

-5.728 eV per atom